A plane-wave DFT calculation with GGA-PBE was carried out for a relaxed Er2Tm2Tl3 crystal.

Its total energy is -3.76 eV per atom. As for the space-group type: P-1, No. 2. Its energy above the most stable polymorph in this dataset is 0.0171 eV/atom.

Cell: 3.721 6.939 8.734 Å, 68.85 89.94 74.45°
Fractional positions:
Er  0.112  0.275  0.446
Er  0.888  0.725  0.554
Tm  0.380  0.742  0.185
Tm  0.620  0.258  0.815
Tl  0.000  0.500  0.000
Tl  0.302  0.894  0.782
Tl  0.698  0.106  0.218